A relaxed TbHoI6 crystal. Source: the Open Quantum Materials Database, functional PBE.

Geometry as extended XYZ:
```
8
Lattice="3.813 -6.612 0.000 3.813 6.612 0.000 -2.487 0.000 7.231" Properties=species:S:1:pos:R:3 pbc="T T T"
Ho 3.812 -4.417 0.000
I 5.156 2.310 1.750
I 5.128 -2.327 1.750
I 1.108 0.016 1.787
I 4.030 0.016 5.444
I 0.010 -2.327 5.481
I -0.018 2.310 5.481
Tb 3.813 4.417 0.000
```

The uncorrected energy comes out at -29.72 eV for the cell shown. For the total magnetization, the calculation gives 0.01 μB per cell.

A relaxed LiBeNiB crystal. Source: the Open Quantum Materials Database, functional PBE.

Geometry as extended XYZ:
```
4
Lattice="0.000 2.554 2.554 2.554 0.000 2.554 2.554 2.554 0.000" Properties=species:S:1:pos:R:3 pbc="T T T"
B 0.000 0.000 0.000
Be 2.554 2.554 2.554
Li 3.831 3.831 3.831
Ni 1.277 1.277 1.277
```

The calculation puts the energy above the most stable polymorph in this dataset at 0 meV per atom. For the total magnetization, the calculation gives 0.00 μB per cell.